# 1
Density functional theory data (PBE) for crystalline CsHgBi at its relaxed geometry.

* space-group type: P-1, No. 2
* Fermi-level density of states: 0.256 states/eV/cell
* calculated total energy: -1.971 eV/atom
* crystal system: triclinic

a = 4.797 Å, b = 6.764 Å, c = 8.943 Å
α = 99.74°, β = 105.55°, γ = 90.15°
Sites, in units of the cell vectors:
Cs 0.101 0.307 0.199
Cs 0.899 0.693 0.801
Hg 0.417 0.176 0.833
Hg 0.583 0.824 0.167
Bi 0.231 0.857 0.463
Bi 0.769 0.143 0.537

***

# 2
Density functional theory data (PBE) for crystalline ZrCrAg2 at its relaxed geometry.

* space-group type: Pmmm, No. 47
* Fermi-level density of states: 2.384 states/eV/cell
* distance to the lowest polymorph of the same formula: 77.4 meV/atom
* crystal system: orthorhombic

a = 2.914 Å, b = 4.313 Å, c = 5.853 Å
α = 90.00°, β = 90.00°, γ = 90.00°
Sites, in units of the cell vectors:
Zr 0.000 0.000 0.000
Cr 0.000 0.000 0.500
Ag 0.500 0.500 0.260
Ag 0.500 0.500 0.740